(1)
VASP calculation (PBE) on a relaxed structure of Ho2AlGa5.

abc: 4.551 6.233 6.233
angles: 60.15 90.00 90.00
Positions (direct):
1 Al 0.000 0.854 0.854
2 Ga 0.500 0.702 0.146
3 Ga 0.500 0.148 0.148
4 Ga 0.000 0.852 0.298
5 Ga 0.500 0.146 0.702
6 Ga 0.000 0.298 0.852
7 Ho 0.000 0.333 0.333
8 Ho 0.500 0.666 0.666

## Properties
Space-group type: Amm2, No. 38
Total moment in μB/atom: 0.00

---

(2)
VASP calculation (PBE) on a relaxed structure of LuGaFeAg.

abc: 4.665 4.665 4.665
angles: 60.00 60.00 60.00
Positions (direct):
1 Ag 0.500 0.500 0.500
2 Fe 0.750 0.750 0.750
3 Ga 0.000 0.000 0.000
4 Lu 0.250 0.250 0.250

## Properties
E above lowest polymorph in kJ/mol of formula units: 0
Space-group type: F-43m, No. 216
Total moment in μB/atom: 0.64

---

(3)
VASP calculation (PBE) on a relaxed structure of GeAuF6.

abc: 4.593 4.593 4.593
angles: 96.47 96.47 96.47
Positions (direct):
1 Au 0.000 0.000 0.000
2 F 0.680 0.680 0.055
3 F 0.945 0.320 0.320
4 F 0.320 0.945 0.320
5 F 0.680 0.055 0.680
6 F 0.055 0.680 0.680
7 F 0.320 0.320 0.945
8 Ge 0.500 0.500 0.500

## Properties
Space-group type: R-3m, No. 166

---

(4)
VASP calculation (PBE) on a relaxed structure of YFeBiOs.

abc: 4.847 4.847 4.847
angles: 60.00 60.00 60.00
Positions (direct):
1 Bi 0.000 0.000 0.000
2 Fe 0.750 0.750 0.750
3 Os 0.500 0.500 0.500
4 Y 0.250 0.250 0.250

## Properties
E above lowest polymorph in kJ/mol of formula units: 55
Space-group type: F-43m, No. 216
Total moment in μB/atom: 1.04

---

(5)
VASP calculation (PBE) on a relaxed structure of Tc2Pd.

abc: 8.139 8.139 8.139
angles: 60.00 60.00 60.00
Last column: magnetic moment on the atom in μB.
Positions (direct):
1 Pd 0.250 0.250 0.250  0.26
2 Pd 0.500 0.500 0.500  0.26
3 Tc 0.875 0.375 0.375  3.39
4 Tc 0.375 0.875 0.375  3.19
5 Tc 0.375 0.375 0.375  3.21
6 Tc 0.375 0.375 0.875  3.17

## Properties
E above lowest polymorph in kJ/mol of formula units: 847
Space-group type: Fd-3m, No. 227
Total moment in μB/atom: 2.67
Calculated formation energy in meV/atom: 3273

---

(6)
VASP calculation (PBE) on a relaxed structure of NdAsN2O.

abc: 7.414 5.870 5.683
angles: 90.00 90.00 90.00
Positions (direct):
1 As 0.247 0.170 0.469
2 As 0.753 0.170 0.469
3 As 0.247 0.830 0.969
4 As 0.753 0.830 0.969
5 N 0.500 0.856 0.053
6 N 0.210 0.913 0.294
7 N 0.790 0.913 0.294
8 N 0.000 0.294 0.456
9 N 0.500 0.144 0.553
10 N 0.210 0.087 0.794
11 N 0.790 0.087 0.794
12 N 0.000 0.706 0.956
13 Nd 0.000 0.312 0.017
14 Nd 0.500 0.700 0.441
15 Nd 0.000 0.688 0.517
16 Nd 0.500 0.300 0.941
17 O 0.290 0.409 0.254
18 O 0.710 0.409 0.254
19 O 0.290 0.591 0.754
20 O 0.710 0.591 0.754

## Properties
Space-group type: Pmc2_1, No. 26
Total moment in μB/atom: 0.00

---

(7)
VASP calculation (PBE) on a relaxed structure of YTm2Sc3Sb2Os.

abc: 4.164 7.794 7.794
angles: 120.01 90.00 90.00
Positions (direct):
1 Os 0.000 0.994 0.994
2 Sb 0.500 0.669 0.333
3 Sb 0.500 0.333 0.669
4 Sc 0.500 0.228 0.000
5 Sc 0.500 0.000 0.228
6 Sc 0.500 0.769 0.769
7 Tm 0.000 0.610 0.001
8 Tm 0.000 0.001 0.610
9 Y 0.000 0.396 0.396

## Properties
Space-group type: Amm2, No. 38
Total moment in μB/atom: 0.00

---

(8)
VASP calculation (PBE) on a relaxed structure of Co2Re.

abc: 5.983 5.983 2.616
angles: 90.00 90.00 90.00
Positions (direct):
1 Co 0.263 0.263 0.000
2 Co 0.737 0.737 0.000
3 Co 0.763 0.237 0.500
4 Co 0.237 0.763 0.500
5 Re 0.000 0.000 0.000
6 Re 0.500 0.500 0.500

## Properties
E above lowest polymorph in kJ/mol of formula units: 334
Space-group type: P4_2/mnm, No. 136
Total moment in μB/atom: 0.51
Calculated formation energy in meV/atom: 1209

---

(9)
VASP calculation (PBE) on a relaxed structure of DyAuSeO.

abc: 3.938 3.938 9.436
angles: 90.00 90.00 90.00
Positions (direct):
1 Au 0.750 0.250 0.500
2 Au 0.250 0.750 0.500
3 Dy 0.250 0.250 0.118
4 Dy 0.750 0.750 0.882
5 O 0.750 0.250 0.000
6 O 0.250 0.750 0.000
7 Se 0.750 0.750 0.282
8 Se 0.250 0.250 0.718

## Properties
E above lowest polymorph in kJ/mol of formula units: 34
Space-group type: P4/nmm, No. 129
Total moment in μB/atom: 0.00

---

(10)
VASP calculation (PBE) on a relaxed structure of Hf2Tc2Mo.

abc: 3.566 3.566 7.498
angles: 103.76 103.76 90.00
Positions (direct):
1 Hf 0.600 0.600 0.200
2 Hf 0.400 0.400 0.800
3 Mo 0.000 0.000 0.000
4 Tc 0.750 0.250 0.500
5 Tc 0.250 0.750 0.500

## Properties
Space-group type: I4/mmm, No. 139
Total moment in μB/atom: 0.00
Calculated formation energy in meV/atom: 462

---

(11)
VASP calculation (PBE) on a relaxed structure of Lu4CuNiN2.

abc: 3.375 3.375 13.515
angles: 90.00 90.00 120.00
Positions (direct):
1 Cu 0.000 0.000 0.000
2 Lu 0.667 0.333 0.155
3 Lu 0.000 0.000 0.355
4 Lu 0.000 0.000 0.645
5 Lu 0.667 0.333 0.845
6 N 0.333 0.667 0.253
7 N 0.333 0.667 0.747
8 Ni 0.667 0.333 0.500

## Properties
Space-group type: P-6m2, No. 187
Total moment in μB/atom: 0.00

---

(12)
VASP calculation (PBE) on a relaxed structure of TmZn.

abc: 5.389 8.334 5.165
angles: 90.00 90.00 71.13
Positions (direct):
1 Tm 0.849 0.378 0.000
2 Tm 0.215 0.600 0.000
3 Tm 0.627 0.822 0.000
4 Tm 0.450 0.371 0.500
5 Tm 0.221 0.829 0.500
6 Zn 0.013 0.000 0.000
7 Zn 0.414 0.200 0.000
8 Zn 0.047 0.202 0.500
9 Zn 0.848 0.600 0.500
10 Zn 0.649 0.998 0.500

## Properties
Space-group type: Amm2, No. 38
Total moment in μB/atom: 0.00
Calculated formation energy in meV/atom: -103

---

(13)
VASP calculation (PBE) on a relaxed structure of Tm2GaNi4Sn.

abc: 4.250 4.250 8.549
angles: 90.00 90.00 120.00
Positions (direct):
1 Ga 0.000 0.000 0.500
2 Ni 0.667 0.333 0.087
3 Ni 0.667 0.333 0.426
4 Ni 0.333 0.667 0.574
5 Ni 0.333 0.667 0.913
6 Sn 0.000 0.000 0.000
7 Tm 0.333 0.667 0.256
8 Tm 0.667 0.333 0.744

## Properties
Space-group type: P-3m1, No. 164
Total moment in μB/atom: 0.00

---

(14)
VASP calculation (PBE) on a relaxed structure of PmCoOs.

abc: 4.488 4.488 4.488
angles: 60.00 60.00 60.00
Positions (direct):
1 Co 0.250 0.250 0.250
2 Os 0.750 0.750 0.750
3 Pm 0.000 0.000 0.000

## Properties
E above lowest polymorph in kJ/mol of formula units: 210
Space-group type: F-43m, No. 216
Total moment in μB/atom: 0.73
Calculated formation energy in meV/atom: 1397

---

(15)
VASP calculation (PBE) on a relaxed structure of TmUTl.

abc: 5.148 5.148 5.148
angles: 60.00 60.00 60.00
Positions (direct):
1 Tl 0.000 0.000 0.000
2 Tm 0.250 0.250 0.250
3 U 0.750 0.750 0.750

## Properties
E above lowest polymorph in kJ/mol of formula units: 0
Space-group type: F-43m, No. 216
Total moment in μB/atom: 1.33

---

(16)
VASP calculation (PBE) on a relaxed structure of Pr3Se2N.

abc: 3.957 3.957 10.495
angles: 90.00 90.00 120.00
Positions (direct):
1 N 0.000 0.000 0.500
2 Pr 0.000 0.000 0.000
3 Pr 0.333 0.667 0.371
4 Pr 0.667 0.333 0.629
5 Se 0.667 0.333 0.182
6 Se 0.333 0.667 0.818

## Properties
Space-group type: P-3m1, No. 164
Total moment in μB/atom: 0.00

---

(17)
VASP calculation (PBE) on a relaxed structure of LiAgPd.

abc: 4.349 4.349 4.349
angles: 60.00 60.00 60.00
Positions (direct):
1 Ag 0.250 0.250 0.250
2 Li 0.750 0.750 0.750
3 Pd 0.000 0.000 0.000

## Properties
E above lowest polymorph in kJ/mol of formula units: 100
Space-group type: F-43m, No. 216

---

(18)
VASP calculation (PBE) on a relaxed structure of TmMgSn2P4.

abc: 7.349 7.349 7.349
angles: 131.26 131.26 71.41
Positions (direct):
1 Mg 0.250 0.750 0.500
2 P 0.119 0.634 0.008
3 P 0.366 0.374 0.484
4 P 0.889 0.881 0.516
5 P 0.626 0.111 0.992
6 Sn 0.000 0.000 0.000
7 Sn 0.750 0.250 0.500
8 Tm 0.500 0.500 0.000

## Properties
Space-group type: I-4, No. 82
Total moment in μB/atom: 0.00

---

(19)
VASP calculation (PBE) on a relaxed structure of PuTa.

abc: 4.166 4.166 4.166
angles: 60.00 60.00 60.00
Last column: magnetic moment on the atom in μB.
Positions (direct):
1 Pu 0.000 0.000 0.000  4.46
2 Ta 0.250 0.250 0.250  -0.06

## Properties
E above lowest polymorph in kJ/mol of formula units: 340
Space-group type: F-43m, No. 216
Total moment in μB/atom: 2.23
Calculated formation energy in meV/atom: 2208

---

(20)
VASP calculation (PBE) on a relaxed structure of MgTaCuB.

abc: 4.218 4.218 4.218
angles: 60.00 60.00 60.00
Positions (direct):
1 B 0.000 0.000 0.000
2 Cu 0.750 0.750 0.750
3 Mg 0.500 0.500 0.500
4 Ta 0.250 0.250 0.250

## Properties
E above lowest polymorph in kJ/mol of formula units: 0
Space-group type: F-43m, No. 216
Total moment in μB/atom: 0.06

---

(21)
VASP calculation (PBE) on a relaxed structure of CdCo.

abc: 4.126 4.126 6.685
angles: 90.00 90.00 120.00
Positions (direct):
1 Cd 0.333 0.667 0.499
2 Cd 0.000 0.000 0.999
3 Co 0.000 0.000 0.376
4 Co 0.333 0.667 0.876

## Properties
Space-group type: P6_3mc, No. 186
Total moment in μB/atom: 0.85
Calculated formation energy in meV/atom: 1418

---

(22)
VASP calculation (PBE) on a relaxed structure of AcHfB.

abc: 4.851 4.851 4.851
angles: 60.00 60.00 60.00
Positions (direct):
1 Ac 0.000 0.000 0.000
2 B 0.250 0.250 0.250
3 Hf 0.750 0.750 0.750

## Properties
E above lowest polymorph in kJ/mol of formula units: 400
Space-group type: F-43m, No. 216
Total moment in μB/atom: 0.39

---

(23)
VASP calculation (PBE) on a relaxed structure of U2Co3Si5.

abc: 5.571 7.809 7.809
angles: 89.81 110.90 110.90
Last column: magnetic moment on the atom in μB.
Positions (direct):
1 Co 0.250 0.000 0.000  0.34
2 Co 0.750 0.000 0.000  0.34
3 Co 0.386 0.524 0.247  -0.08
4 Co 0.114 0.753 0.476  -0.09
5 Co 0.886 0.247 0.524  -0.09
6 Co 0.614 0.476 0.753  -0.08
7 Si 0.153 0.256 0.051  -0.01
8 Si 0.250 0.771 0.229  -0.01
9 Si 0.750 0.771 0.229  -0.01
10 Si 0.653 0.051 0.256  -0.01
11 Si 0.250 0.500 0.500  -0.01
12 Si 0.750 0.500 0.500  -0.01
13 Si 0.347 0.949 0.744  -0.01
14 Si 0.250 0.229 0.771  -0.01
15 Si 0.750 0.229 0.771  -0.01
16 Si 0.847 0.744 0.949  -0.01
17 U 0.766 0.402 0.131  1.63
18 U 0.266 0.131 0.402  1.68
19 U 0.734 0.869 0.598  1.68
20 U 0.234 0.598 0.869  1.63

## Properties
Space-group type: Ibam, No. 72
Total moment in μB/atom: 0.32

---

(24)
VASP calculation (PBE) on a relaxed structure of HoNbAs.

abc: 4.552 4.552 4.552
angles: 60.00 60.00 60.00
Positions (direct):
1 As 0.000 0.000 0.000
2 Ho 0.250 0.250 0.250
3 Nb 0.750 0.750 0.750

## Properties
Space-group type: F-43m, No. 216
Total moment in μB/atom: 0.04

---

(25)
VASP calculation (PBE) on a relaxed structure of ZrTe.

abc: 3.796 3.796 3.901
angles: 90.00 90.00 120.00
Positions (direct):
1 Te 0.333 0.667 0.500
2 Zr 0.000 0.000 0.000

## Properties
Space-group type: P-6m2, No. 187
Total moment in μB/atom: 0.00

---

(26)
VASP calculation (PBE) on a relaxed structure of NaBeOs.

abc: 4.173 4.173 4.173
angles: 60.00 60.00 60.00
Positions (direct):
1 Be 0.250 0.250 0.250
2 Na 0.000 0.000 0.000
3 Os 0.750 0.750 0.750

## Properties
E above lowest polymorph in kJ/mol of formula units: 257
Space-group type: F-43m, No. 216
Total moment in μB/atom: 0.57

---

(27)
VASP calculation (PBE) on a relaxed structure of SmAs.

abc: 4.063 4.063 3.763
angles: 90.00 90.00 120.00
Positions (direct):
1 As 0.667 0.333 0.750
2 Sm 0.333 0.667 0.250

## Properties
Space-group type: P-6m2, No. 187
Total moment in μB/atom: 0.00

---

Q: Which E_tot values were calculated for the entries above? A: -32.10; -18.94; -28.00; -28.12; -32.16; -140.68; -60.56; -46.02; -47.23; -49.17; -51.09; -29.73; -42.68; -18.89; -16.02; -39.41; -9.75; -38.29; -21.56; -20.59; -10.33; -14.94; -153.34; -20.28; -13.49; -9.77; -11.83, in eV for the cell shown.